No. 1
DFT (GGA-PBE) results for RbOsI2N after structural relaxation.

Properties
ΔE to the lowest computed polymorph (meV per atom): 0
Formation energy (no corrections) (kJ per mole of atoms): -5

Cell: 5.887 5.887 3.805 Å, 90.00 90.00 90.00°
Space group P4/mmm (No. 123)
Inequivalent atoms, fractional coordinates:
Rb (0.000, 0.000, 0.000) (multiplicity 1)
Os (0.500, 0.500, 0.500) (multiplicity 1)
I (0.000, 0.500, 0.500) (multiplicity 2)
N (0.500, 0.500, 0.000) (multiplicity 1)


No. 2
DFT (GGA-PBE) results for Sm3Al5Au6 after structural relaxation.

Properties
Formation enthalpy at 0 K (eV per atom): -0.693

Cell: 4.443 13.453 9.442 Å, 90.00 90.00 90.00°
Space group Pmmn (No. 59, origin choice 2)
Inequivalent atoms, fractional coordinates:
Sm (0.250, 0.054, 0.247) (multiplicity 4)
Sm (0.250, 0.750, 0.263) (multiplicity 2)
Al (0.250, 0.081, 0.605) (multiplicity 4)
Al (0.250, 0.614, 0.979) (multiplicity 4)
Al (0.250, 0.750, 0.743) (multiplicity 2)
Au (0.250, 0.086, 0.877) (multiplicity 4)
Au (0.250, 0.250, 0.079) (multiplicity 2)
Au (0.250, 0.250, 0.455) (multiplicity 2)
Au (0.250, 0.610, 0.531) (multiplicity 4)


No. 3
DFT (GGA-PBE) results for HfPt2Pb2 after structural relaxation.

Properties
Formation enthalpy at 0 K (eV per atom): -0.261

Cell: 6.966 6.966 4.695 Å, 90.00 90.00 90.00°
Space group P4/mbm (No. 127)
Inequivalent atoms, fractional coordinates:
Hf (0.000, 0.000, 0.000) (multiplicity 2)
Pt (0.137, 0.363, 0.000) (multiplicity 4)
Pb (0.178, 0.678, 0.500) (multiplicity 4)


No. 4
DFT (GGA-PBE) results for Sm2DySe2O2 after structural relaxation.

Properties
Formation energy (no corrections) (kJ per mole of atoms): -224

Cell: 4.309 4.309 15.467 Å, 90.00 90.00 90.00°
Space group I4/mmm (No. 139)
Inequivalent atoms, fractional coordinates:
Sm (0.000, 0.000, 0.127) (multiplicity 4)
Dy (0.000, 0.000, 0.500) (multiplicity 2)
Se (0.000, 0.000, 0.318) (multiplicity 4)
O (0.000, 0.500, 0.000) (multiplicity 4)


No. 5
DFT (GGA-PBE) results for K7Na2 after structural relaxation.

Properties
Formation enthalpy at 0 K (eV per atom): 0.027

Cell: 7.7925 7.7925 10.9020 Å, 90.00 90.00 120.00°
Space group P-31m (No. 162)
Inequivalent atoms, fractional coordinates:
K (0.0000, 0.0000, 0.0000) (multiplicity 1)
K (0.0000, 0.3419, 0.6795) (multiplicity 6)
Na (0.3333, 0.6667, 0.0000) (multiplicity 2)


No. 6
DFT (GGA-PBE) results for ScCoReMo after structural relaxation.

Properties
Formation enthalpy at 0 K (eV per atom): -0.066

Cell: 6.244 6.244 6.244 Å, 90.00 90.00 90.00°
Space group F-43m (No. 216)
Inequivalent atoms, fractional coordinates:
Sc (0.000, 0.000, 0.000) (multiplicity 4)
Co (0.250, 0.250, 0.750) (multiplicity 4)
Re (0.250, 0.250, 0.250) (multiplicity 4)
Mo (0.000, 0.000, 0.500) (multiplicity 4)


Number 1: calculated total energy -4.779 eV per atom. Number 2: calculated total energy -4.446 eV per atom. Number 3: calculated total energy -6.151 eV per atom. Number 4: calculated total energy -6.744 eV per atom. Number 5: calculated total energy -1.119 eV per atom. Number 6: calculated total energy -9.245 eV per atom.